Record 1
A relaxed AcAlVO6 crystal. Source: the Alexandria database, functional GGA+U.

The energy is -7.458 eV per atom.

Cell: 5.0822 5.0822 5.2713 Å, 90.00 90.00 120.00°
Space group P312 (No. 149)
Asymmetric unit:
Ac  0.0000  0.0000  0.0000 (multiplicity 1)
Al  0.3333  0.6667  0.5000 (multiplicity 1)
V  0.6667  0.3333  0.5000 (multiplicity 1)
O  0.3880  0.0020  0.7023 (multiplicity 6)


Record 2
A relaxed Ac3Al2VO9 crystal. Source: the Alexandria database, functional GGA+U.

The energy is -7.908 eV per atom.

Cell: 5.5414 5.5414 6.8435 Å, 90.00 90.00 120.00°
Space group P-3m1 (No. 164)
Asymmetric unit:
Ac  0.0000  0.0000  0.0000 (multiplicity 1)
Ac  0.3333  0.6667  0.6688 (multiplicity 2)
Al  0.3333  0.6667  0.1622 (multiplicity 2)
V  0.0000  0.0000  0.5000 (multiplicity 1)
O  0.0000  0.5000  0.0000 (multiplicity 3)
O  0.1708  0.3415  0.3253 (multiplicity 6)


Record 3
A relaxed Ac2AlVO6 crystal. Source: the Alexandria database, functional GGA+U.

The energy is -7.957 eV per atom.

Cell: 9.668 5.565 5.633 Å, 90.00 125.11 90.00°
Space group C2/m (No. 12)
Asymmetric unit:
Ac  0.250  0.000  0.250 (multiplicity 4)
Al  0.000  0.000  0.500 (multiplicity 2)
V  0.000  0.500  0.000 (multiplicity 2)
O  0.021  0.244  0.279 (multiplicity 8)
O  0.242  0.000  0.781 (multiplicity 4)


Record 4
A relaxed Ac4Al3VO12 crystal. Source: the Alexandria database, functional GGA+U.

The energy is -7.852 eV per atom.

Cell: 7.837 7.837 7.837 Å, 90.00 90.00 90.00°
Space group Im-3m (No. 229)
Asymmetric unit:
Ac  0.250  0.250  0.250 (multiplicity 8)
Al  0.000  0.000  0.500 (multiplicity 6)
V  0.000  0.000  0.000 (multiplicity 2)
O  0.000  0.000  0.258 (multiplicity 12)
O  0.000  0.250  0.500 (multiplicity 12)


Record 5
A relaxed AcAl2WO8 crystal. Source: the Alexandria database, functional GGA+U.

The energy is -7.302 eV per atom.

Cell: 4.9856 4.9856 21.0421 Å, 90.00 90.00 120.00°
Space group R-3 (No. 148, hexagonal axes)
Asymmetric unit:
Ac  0.0000  0.0000  0.0000 (multiplicity 3)
Al  0.0000  0.0000  0.2385 (multiplicity 6)
W  0.0000  0.0000  0.5000 (multiplicity 3)
O  0.0000  0.0000  0.3231 (multiplicity 6)
O  0.0042  0.3193  0.5539 (multiplicity 18)


Record 6
A relaxed Ac2AlWO6 crystal. Source: the Alexandria database, functional GGA+U.

The energy is -7.763 eV per atom.

Cell: 8.057 8.057 8.057 Å, 90.00 90.00 90.00°
Space group Fm-3m (No. 225)
Asymmetric unit:
Ac  0.250  0.250  0.250 (multiplicity 8)
Al  0.000  0.000  0.000 (multiplicity 4)
W  0.000  0.000  0.500 (multiplicity 4)
O  0.000  0.000  0.236 (multiplicity 24)